w.
A plane-wave DFT calculation with GGA-PBE was carried out for AlMoSe3 after structural relaxation.

Structure (extended XYZ):
```
5
Lattice="4.8401 0.0000 0.0000 0.0000 4.8401 0.0000 0.0000 0.0000 4.8401" Properties=species:S:1:pos:R:3 pbc="T T T"
Mo 2.4200 2.4200 2.4200
Al 0.0000 0.0000 0.0000
Se 0.0000 2.4200 0.0000
Se 0.0000 0.0000 2.4200
Se 2.4200 0.0000 0.0000
```

Values from the calculation:
Fermi-level density of states   0.5800 states/eV per atom
Total magnetization   2.98 μB per formula unit

***

x.
A plane-wave DFT calculation with GGA-PBE was carried out for AlMoSe3 after structural relaxation.

Structure (extended XYZ):
```
5
Lattice="-4.1430 -0.9714 -2.5764 2.5449 -3.1281 -2.9128 -1.0513 -3.7439 3.1022" Properties=species:S:1:pos:R:3 pbc="T T T"
Mo 0.0000 0.0000 0.0000
Al -1.3247 -3.9217 -1.1935
Se 1.2724 -1.5641 -1.4564
Se -0.5257 -1.8720 1.5511
Se -2.0715 -0.4857 -1.2882
```

Values from the calculation:
Fermi-level density of states   0.7770 states/eV per atom
Total magnetization   0.00 μB per formula unit

***

On energetic grounds, x is preferred over the next structure by 345 meV per atom.

***

w.
A plane-wave DFT calculation with GGA-PBE was carried out for AlSiMo2 after structural relaxation.

Structure (extended XYZ):
```
4
Lattice="0.0000 3.0802 3.0802 3.0802 0.0000 3.0802 3.0802 3.0802 0.0000" Properties=species:S:1:pos:R:3 pbc="T T T"
Mo 1.5401 1.5401 1.5401
Mo 4.6203 4.6203 4.6203
Si 3.0802 3.0802 3.0802
Al 0.0000 0.0000 0.0000
```

Values from the calculation:
Fermi-level density of states   1.0834 states/eV per atom
Total magnetization   0.00 μB per formula unit

***

x.
A plane-wave DFT calculation with GGA-PBE was carried out for AlSiMo2 after structural relaxation.

Structure (extended XYZ):
```
4
Lattice="-0.8593 -0.7568 -4.6251 1.3154 -2.6336 -3.7465 -2.9375 -3.3849 0.0404" Properties=species:S:1:pos:R:3 pbc="T T T"
Mo -2.8478 -3.3028 -0.0065
Mo -0.7290 -1.7778 -1.9933
Si -1.1756 -3.3116 -4.1643
Al -1.9074 -5.1557 -6.2922
```

Values from the calculation:
Fermi-level density of states   0.7387 states/eV per atom
Total magnetization   0.00 μB per formula unit

***

On energetic grounds, x is preferred over the next structure by 121 meV per atom.

***

w.
A plane-wave DFT calculation with GGA-PBE was carried out for AlSi2Mo2 after structural relaxation.

Structure (extended XYZ):
```
10
Lattice="6.6112 0.0000 0.0000 0.0000 6.6112 0.0000 0.0000 0.0000 3.2732" Properties=species:S:1:pos:R:3 pbc="T T T"
Mo 1.0913 4.3969 1.6366
Mo 4.3969 5.5200 1.6366
Mo 5.5200 2.2143 1.6366
Mo 2.2143 1.0913 1.6366
Si 2.4434 5.7490 0.0000
Si 5.7490 4.1679 0.0000
Si 4.1679 0.8623 0.0000
Si 0.8623 2.4434 0.0000
Al 0.0000 0.0000 0.0000
Al 3.3056 3.3056 0.0000
```

Values from the calculation:
Fermi-level density of states   0.4685 states/eV per atom
Total magnetization   0.00 μB per formula unit

***

x.
A plane-wave DFT calculation with GGA-PBE was carried out for AlSi2Mo2 after structural relaxation.

Structure (extended XYZ):
```
10
Lattice="6.7837 0.0000 0.0000 0.0000 6.7837 0.0000 0.0000 0.0000 3.3081" Properties=species:S:1:pos:R:3 pbc="T T T"
Mo 2.3605 5.7524 0.0000
Mo 5.7524 4.4232 0.0000
Mo 4.4232 1.0314 0.0000
Mo 1.0314 2.3605 0.0000
Si 0.9635 4.3554 1.6541
Si 4.3554 5.8202 1.6541
Si 5.8202 2.4283 1.6541
Si 2.4283 0.9635 1.6541
Al 0.0000 0.0000 0.0000
Al 3.3919 3.3919 0.0000
```

Values from the calculation:
Fermi-level density of states   0.7810 states/eV per atom
Total magnetization   0.00 μB per formula unit

***

On energetic grounds, w is preferred over the next structure by 93 meV per atom.

***

w.
A plane-wave DFT calculation with GGA-PBE was carried out for SrAl2Mo after structural relaxation.

Structure (extended XYZ):
```
4
Lattice="-3.2750 -1.8079 2.9641 -3.3283 -3.3824 0.5119 3.9894 -4.3956 2.7356" Properties=species:S:1:pos:R:3 pbc="T T T"
Sr -0.6535 -2.3965 1.5529
Mo -1.9605 -7.1894 4.6587
Al 3.6005 -4.1224 2.5687
Al -0.9180 -5.0661 3.2727
```

Values from the calculation:
Fermi-level density of states   0.6063 states/eV per atom
Total magnetization   0.00 μB per formula unit

***

x.
A plane-wave DFT calculation with GGA-PBE was carried out for SrAl2Mo after structural relaxation.

Structure (extended XYZ):
```
4
Lattice="4.8362 0.0000 0.0000 2.4181 4.1883 0.0000 2.4181 1.3961 3.9488" Properties=species:S:1:pos:R:3 pbc="T T T"
Sr 2.4181 1.3961 0.9872
Mo 4.8362 2.7922 1.9744
Al 0.0000 0.0000 0.0000
Al 7.2543 4.1883 2.9616
```

Values from the calculation:
Fermi-level density of states   1.1534 states/eV per atom
Total magnetization   0.00 μB per formula unit

***

On energetic grounds, w is preferred over the next structure by 451 meV per atom.

***

w.
A plane-wave DFT calculation with GGA-PBE was carried out for SrAl2Mo after structural relaxation.

Structure (extended XYZ):
```
4
Lattice="-4.8251 -3.6631 -0.8337 -0.2592 -3.8067 -4.7787 2.4746 1.9520 5.2403" Properties=species:S:1:pos:R:3 pbc="T T T"
Sr -0.1797 -2.8188 -1.1904
Mo -2.7171 -3.9920 -2.9994
Al -4.9367 -7.2529 -5.4495
Al -2.4026 -2.6587 0.8485
```

Values from the calculation:
Fermi-level density of states   0.6443 states/eV per atom
Total magnetization   0.00 μB per formula unit

***

x.
A plane-wave DFT calculation with GGA-PBE was carried out for SrAl2Mo after structural relaxation.

Structure (extended XYZ):
```
4
Lattice="5.5842 -0.0039 0.0000 2.4132 5.0359 0.0000 -3.9987 -2.5160 2.9772" Properties=species:S:1:pos:R:3 pbc="T T T"
Sr 2.7921 -0.0019 1.4886
Mo 3.9987 2.5160 0.0000
Al 0.0000 0.0000 0.0000
Al 1.2066 2.5179 1.4886
```

Values from the calculation:
Fermi-level density of states   0.7704 states/eV per atom
Total magnetization   0.00 μB per formula unit

***

y.
A plane-wave DFT calculation with GGA-PBE was carried out for SrAl2Mo after structural relaxation.

Structure (extended XYZ):
```
4
Lattice="0.0000 3.4604 3.4604 3.4604 0.0000 3.4604 3.4604 3.4604 0.0000" Properties=species:S:1:pos:R:3 pbc="T T T"
Sr 0.0000 0.0000 0.0000
Mo 3.4604 3.4604 3.4604
Al 1.7302 1.7302 1.7302
Al 5.1906 5.1906 5.1906
```

Values from the calculation:
Fermi-level density of states   0.6711 states/eV per atom
Total magnetization   2.09 μB per formula unit

***

z.
A plane-wave DFT calculation with GGA-PBE was carried out for SrAl2Mo after structural relaxation.

Structure (extended XYZ):
```
4
Lattice="2.9708 0.0258 0.0000 -0.0265 2.9725 0.0000 0.0000 0.0000 9.0909" Properties=species:S:1:pos:R:3 pbc="T T T"
Sr 1.4722 1.4991 6.8215
Mo 0.0000 0.0000 4.1126
Al 0.0000 0.0000 0.4003
Al 1.4722 1.4991 2.3020
```

Values from the calculation:
Fermi-level density of states   0.5036 states/eV per atom
Total magnetization   0.00 μB per formula unit

***

On energetic grounds, z is preferred over the next structure by 25 meV per atom.

***

w.
A plane-wave DFT calculation with GGA-PBE was carried out for SrAl2Mo after structural relaxation.

Structure (extended XYZ):
```
4
Lattice="8.9257 0.0087 0.0051 8.2563 3.3915 0.0051 8.2563 1.6338 2.9720" Properties=species:S:1:pos:R:3 pbc="T T T"
Sr 19.0787 3.7755 2.2367
Mo 6.3596 1.2585 0.7456
Al 24.9885 4.9450 2.9295
Al 13.1688 2.6060 1.5439
```

Values from the calculation:
Fermi-level density of states   0.4292 states/eV per atom
Total magnetization   0.00 μB per formula unit

***

x.
A plane-wave DFT calculation with GGA-PBE was carried out for SrAl2Mo after structural relaxation.

Structure (extended XYZ):
```
4
Lattice="6.9817 0.0027 0.0086 -2.8747 4.4355 0.0001 1.2322 0.8020 2.5486" Properties=species:S:1:pos:R:3 pbc="T T T"
Sr 2.0535 2.2191 0.0043
Mo -0.8213 2.6187 1.2744
Al 0.0000 0.0000 0.0000
Al 4.1069 0.4023 1.2786
```

Values from the calculation:
Fermi-level density of states   0.9268 states/eV per atom
Total magnetization   0.00 μB per formula unit

***

y.
A plane-wave DFT calculation with GGA-PBE was carried out for SrAl2Mo after structural relaxation.

Structure (extended XYZ):
```
8
Lattice="5.0884 0.0000 0.0000 0.0000 5.0884 0.0000 2.5442 2.5442 8.9550" Properties=species:S:1:pos:R:3 pbc="T T T"
Sr 2.5442 2.5442 0.0000
Sr 2.5442 5.0884 4.4775
Mo 0.0000 0.0000 0.0000
Mo 5.0884 2.5442 4.4775
Al 4.9403 1.2721 2.2387
Al 5.2365 3.8163 2.2387
Al 3.8163 2.6923 6.7162
Al 6.3605 2.3961 6.7162
```

Values from the calculation:
Fermi-level density of states   0.7029 states/eV per atom
Total magnetization   1.79 μB per formula unit

***

On energetic grounds, w is preferred over the next structure by 101 meV per atom.